TaAg3Cl2F6 | PBE | optimized geometry

Computed properties:
- Raw total energy: -4.919 eV per atom

Cell lengths 14.1152, 7.2737, 4.9562 Å; angles 90.00, 99.00, 90.00 degrees
Last column: nearest neighbours and their distance in Å.
Space group C2/m (No. 12)
Asymmetric unit:
Ta1 0.0000 0.0000 0.0000  6 F 1.93
Ag1 0.0000 0.5000 0.5000  2 Cl 2.52
Ag2 0.2500 0.2500 0.0000  2 Cl 2.46
Cl1 0.1745 0.5000 0.7099  3 Ag 2.46-2.52
F1 0.0631 0.1898 0.2341  1 Ta 1.93
F2 0.1067 0.0000 0.7990  1 Ta 1.93

TiRh2Au2 | PBE | optimized geometry

Computed properties:
- ΔE_f: -14 kJ/mol of atoms
- Raw total energy: -5.978 eV per atom

Cell lengths 6.4000, 6.4000, 4.1568 Å; angles 90.00, 90.00, 90.00 degrees
Last column: nearest neighbours and their distance in Å.
Space group P4/mbm (No. 127)
Asymmetric unit:
Ti1 0.0000 0.0000 0.0000  4 Rh 2.46
Rh1 0.1424 0.3576 0.0000  2 Ti 2.46, 1 Rh 2.58, 2 Au 2.73
Au1 0.1622 0.6622 0.5000  6 Rh 2.73-2.85, 1 Au 2.94

MnSi2Ru | PBE | optimized geometry

Computed properties:
- Raw total energy: -7.346 eV per atom

Cell lengths 2.7903, 2.7903, 22.9347 Å; angles 90.00, 90.00, 120.00 degrees
Last column: nearest neighbours and their distance in Å.
Space group R3m (No. 160, hexagonal axes)
Asymmetric unit:
Mn1 0.0000 0.0000 0.0000  3 Si 2.36, 3 Ru 2.60
Si1 0.0000 0.0000 0.2581  3 Mn 2.36, 3 Si 2.60
Si2 0.0000 0.0000 0.5025  3 Ru 2.44, 3 Si 2.60
Ru1 0.0000 0.0000 0.7557  3 Si 2.44, 3 Mn 2.60

Y2CdSe | PBE | optimized geometry

Computed properties:
- Distance to the lowest polymorph of the same formula: 204 meV per atom
- Raw total energy: -5.165 eV per atom

Cell lengths 3.5503, 3.6437, 7.8305 Å; angles 90.00, 96.73, 90.00 degrees
Last column: nearest neighbours and their distance in Å.
Space group P2/m (No. 10)
Asymmetric unit:
Y1 0.0666 0.0000 0.2640  2 Se 2.90
Cd1 0.5000 0.5000 0.0000  8 Y 3.27, 4 Cd 3.55-3.64
Se1 0.5000 0.5000 0.5000  4 Y 2.90

Q: What is the formula in the first record?
A: TaAg3Cl2F6

Repeat the second record exactly.
TiRh2Au2 | PBE | optimized geometry

Computed properties:
- ΔE_f: -14 kJ/mol of atoms
- Raw total energy: -5.978 eV per atom

Cell lengths 6.4000, 6.4000, 4.1568 Å; angles 90.00, 90.00, 90.00 degrees
Last column: nearest neighbours and their distance in Å.
Space group P4/mbm (No. 127)
Asymmetric unit:
Ti1 0.0000 0.0000 0.0000  4 Rh 2.46
Rh1 0.1424 0.3576 0.0000  2 Ti 2.46, 1 Rh 2.58, 2 Au 2.73
Au1 0.1622 0.6622 0.5000  6 Rh 2.73-2.85, 1 Au 2.94